This record from Alexandria describes crystalline Ho6Ge2AsSe3 at its relaxed geometry. The functional is PBE.

The formation energy without anion corrections comes out at -1736 kJ/mol of formula units.

The space group is C2/m (No. 12) and the conventional cell measures 17.897, 4.105 and 8.223 Å, with angles of 90.00, 103.30 and 90.00 degrees. Symmetry generates all atoms from Ho at (0.004, 0.000, 0.245), Ho at (0.165, 0.500, 0.093), Ho at (0.170, 0.500, 0.575), Ge at (0.167, 0.000, 0.333), As at (0.000, 0.500, 0.000), Se at (0.000, 0.500, 0.500) and Se at (0.165, 0.000, 0.834).

---

This record from Alexandria describes crystalline BeNbV2 at its relaxed geometry. The functional is PBE.

The total energy is -7.96 eV/atom.

The space group is P4/mmm (No. 123) and the conventional cell measures 3.128, 3.128 and 5.526 Å, with angles of 90.00, 90.00 and 90.00 degrees. Symmetry generates all atoms from Be at (0.000, 0.000, 0.000), Nb at (0.000, 0.000, 0.500) and V at (0.500, 0.500, 0.219).

---

This record from Alexandria describes crystalline Pr3Nd2Sm3 at its relaxed geometry. The functional is PBE.

The value obtained for the offset from the most stable computed form is 0.00 eV/f.u.

The space group is Immm (No. 71) and the conventional cell measures 5.188, 5.195 and 20.783 Å, with angles of 90.00, 90.00 and 90.00 degrees. Symmetry generates all atoms from Pr at (0.000, 0.000, 0.000), Pr at (0.000, 0.500, 0.125), Nd at (0.000, 0.000, 0.250), Sm at (0.000, 0.000, 0.500) and Sm at (0.000, 0.500, 0.375).

---

This record from Alexandria describes crystalline PuTc2Pt at its relaxed geometry. The functional is PBE.

The total energy is -10.40 eV/atom.

The space group is P4/mmm (No. 123) and the conventional cell measures 4.218, 4.218 and 3.736 Å, with angles of 90.00, 90.00 and 90.00 degrees. Symmetry generates all atoms from Pu at (0.000, 0.000, 0.000), Tc at (0.000, 0.500, 0.500) and Pt at (0.500, 0.500, 0.000).

---

no.,V (Å³ per cell),M_tot (μB per cell)
1,588,0.000
2,54,0.000
3,560,0.000
4,66,2.293